The following is a DFT calculation (PBE) of TlHg3Sb3 after structural relaxation.

Results
M_tot: 0.000 μB/f.u.
space group: Pm-3n
uncorrected formation energy: 214 meV/atom
density: 7.5 g cm⁻³
uncorrected energy: -2.0200 eV/atom
N(E_F): 0.70 states/eV per atom

Cell: 8.034 8.034 8.034 Å, 90.00 90.00 90.00°
Element x y z (fractional)
Sb (0.500, 0.000, 0.250)
Hg (0.500, 0.750, 0.000)
Sb (0.750, 0.500, 0.000)
Sb (0.250, 0.500, 0.000)
Hg (0.000, 0.500, 0.750)
Hg (0.500, 0.250, 0.000)
Sb (0.500, 0.000, 0.750)
Tl (0.000, 0.000, 0.000)
Tl (0.500, 0.500, 0.500)
Hg (0.000, 0.500, 0.250)
Sb (0.000, 0.250, 0.500)
Hg (0.750, 0.000, 0.500)
Sb (0.000, 0.750, 0.500)
Hg (0.250, 0.000, 0.500)